1.
Material: MgIr2Br
Method: DFT, PBE
State: optimized geometry

Lattice parameters (Å, degrees): 6.5187 6.5187 6.5187 90.00 90.00 90.00
With the nearest neighbours (Å) after each atom.
Space group F-43m (No. 216)
One atom of each set of equivalent atoms:
Mg 0.0000 0.0000 0.0000 x4  4 Ir 2.82, 4 Br 2.82
Ir 0.0000 0.0000 0.5000 x4  4 Br 2.82, 4 Ir 2.82
Ir 0.2500 0.2500 0.2500 x4  4 Mg 2.82, 4 Ir 2.82
Br 0.2500 0.2500 0.7500 x4  4 Mg 2.82, 4 Ir 2.82

Properties
Its crystal system is cubic. The energy relative to the elements, uncorrected comes out at 679 meV per atom. The calculation puts the volume at 277 Å³/cell. The total energy comes out at -4.57 eV/atom.

2.
Material: Er3MgPt3
Method: DFT, PBE
State: optimized geometry

Lattice parameters (Å, degrees): 7.3599 11.5182 7.4269 90.00 96.46 90.00
With the nearest neighbours (Å) after each atom.
Space group C2/m (No. 12)
One atom of each set of equivalent atoms:
Er 0.0000 0.1878 0.0000 x4  6 Pt 2.75-3.00
Er 0.0000 0.2211 0.5000 x4  6 Pt 3.05-3.08, 2 Mg 3.32
Er 0.1438 0.5000 0.8662 x4  5 Pt 2.83-3.08, 1 Mg 2.98, 1 Er 3.06
Mg 0.2080 0.5000 0.4765 x4  4 Pt 2.57-2.86
Pt 0.0130 0.0000 0.2702 x4  2 Mg 2.62-2.86, 1 Er 2.83
Pt 0.1845 0.3534 0.2148 x8  1 Mg 2.57, 1 Er 2.75

Properties
The value obtained for the formation enthalpy at 0 K is -0.959 eV per atom. Its crystal system is monoclinic. The calculation puts the volume at 626 Å³/cell. The total energy comes out at -5.73 eV/atom.

3.
Material: Ag2Mo4S
Method: DFT, PBE
State: optimized geometry

Lattice parameters (Å, degrees): 4.3830 4.3830 13.5489 90.00 90.00 90.00
With the nearest neighbours (Å) after each atom.
Space group I4/mmm (No. 139)
One atom of each set of equivalent atoms:
Ag 0.0000 0.0000 0.1383 x4  5 Mo 2.67-2.88
Mo 0.0000 0.0000 0.3355 x4  1 S 2.23
Mo 0.0000 0.5000 0.0000 x4  2 S 2.19
S 0.0000 0.0000 0.5000 x2  6 Mo 2.19-2.23

Properties
Its crystal system is tetragonal. The energy relative to the elements, uncorrected comes out at 987 meV per atom. The calculation puts the volume at 260 Å³/cell. The total energy comes out at -6.61 eV/atom.

4.
Material: PmAl4IrPd2
Method: DFT, PBE
State: optimized geometry

Lattice parameters (Å, degrees): 4.2692 4.2692 26.9225 90.00 90.00 120.00
With the nearest neighbours (Å) after each atom.
Space group R-3m (No. 166, hexagonal axes)
One atom of each set of equivalent atoms:
Pm 0.0000 0.0000 0.0000 x3  6 Al 3.12
Al 0.0000 0.0000 0.1345 x6  3 Ir 2.61, 4 Pd 2.64-2.67
Al 0.0000 0.0000 0.4045 x6  1 Ir 2.57, 3 Pd 2.58
Ir 0.0000 0.0000 0.5000 x3  8 Al 2.57-2.61
Pd 0.0000 0.0000 0.2338 x6  7 Al 2.58-2.67

Properties
The value obtained for the formation enthalpy at 0 K is -0.780 eV per atom. Its crystal system is trigonal. The calculation puts the volume at 425 Å³/cell. The total energy comes out at -5.65 eV/atom.

5.
Material: MgSnGe3
Method: DFT, PBE
State: optimized geometry

Lattice parameters (Å, degrees): 5.0271 5.0271 5.0271 90.00 90.00 90.00
With the nearest neighbours (Å) after each atom.
Space group Pm-3m (No. 221)
One atom of each set of equivalent atoms:
Mg 0.0000 0.0000 0.0000 x1  6 Ge 2.51
Sn 0.5000 0.5000 0.5000 x1  12 Ge 3.55
Ge 0.0000 0.0000 0.5000 x3  2 Mg 2.51

Properties
The value obtained for the formation enthalpy at 0 K is 0.621 eV per atom. Its crystal system is cubic. The calculation puts the volume at 127 Å³/cell. The total energy comes out at -3.27 eV/atom.

6.
Material: SrDy4Ag5
Method: DFT, PBE
State: optimized geometry

Lattice parameters (Å, degrees): 3.6630 3.6630 18.7161 90.00 90.00 90.00
With the nearest neighbours (Å) after each atom.
Space group P4/mmm (No. 123)
One atom of each set of equivalent atoms:
Sr 0.0000 0.0000 0.0000 x1  8 Ag 3.42, 4 Sr 3.66
Dy 0.0000 0.0000 0.2079 x2  8 Ag 3.08-3.16
Dy 0.0000 0.0000 0.4032 x2  8 Ag 3.16-3.18
Ag 0.5000 0.5000 0.1192 x2  4 Dy 3.08, 4 Sr 3.42
Ag 0.5000 0.5000 0.3050 x2  8 Dy 3.16-3.18, 1 Ag 3.48
Ag 0.5000 0.5000 0.5000 x1  8 Dy 3.16

Properties
The value obtained for the formation enthalpy at 0 K is -0.304 eV per atom. Its crystal system is tetragonal. The calculation puts the volume at 251 Å³/cell. The total energy comes out at -3.74 eV/atom.

7.
Material: TbSm2YMg
Method: DFT, PBE
State: optimized geometry

Lattice parameters (Å, degrees): 5.9541 7.5765 7.0998 90.00 90.00 90.00
With the nearest neighbours (Å) after each atom.
Space group Pmma (No. 51)
One atom of each set of equivalent atoms:
Tb 0.2500 0.0000 0.1594 x2  6 Sm 3.54-3.67, 2 Tb 3.74
Sm 0.2500 0.2126 0.6947 x4  1 Y 3.13, 1 Sm 3.22, 2 Mg 3.41
Y 0.2500 0.5000 0.3788 x2  2 Mg 3.07, 2 Sm 3.13, 2 Y 3.44
Mg 0.0000 0.5000 0.0000 x2  2 Mg 2.98, 2 Y 3.07

Properties
The value obtained for the formation enthalpy at 0 K is 0.173 eV per atom. Its crystal system is orthorhombic. The calculation puts the volume at 320 Å³/cell. The total energy comes out at -4.25 eV/atom.

8.
Material: Ba3TaMo
Method: DFT, PBE
State: optimized geometry

Lattice parameters (Å, degrees): 5.8813 5.8813 5.8813 90.00 90.00 90.00
With the nearest neighbours (Å) after each atom.
Space group Pm-3m (No. 221)
One atom of each set of equivalent atoms:
Ba 0.0000 0.0000 0.5000 x3  2 Mo 2.94
Ta 0.5000 0.5000 0.5000 x1  12 Ba 4.16
Mo 0.0000 0.0000 0.0000 x1  6 Ba 2.94

Properties
The value obtained for the formation enthalpy at 0 K is 1.641 eV per atom. Its crystal system is cubic. The calculation puts the volume at 203 Å³/cell. The total energy comes out at -4.05 eV/atom.

9.
Material: PmH6IrPd
Method: DFT, PBE
State: optimized geometry

Lattice parameters (Å, degrees): 4.8317 4.8317 4.1998 90.00 90.00 120.00
With the nearest neighbours (Å) after each atom.
Space group P312 (No. 149)
One atom of each set of equivalent atoms:
Pm 0.0000 0.0000 0.0000 x1  12 H 2.60-2.61
H 0.5109 0.0249 0.7707 x6  1 Ir 1.72, 1 Pd 1.88, 1 H 1.93
Ir 0.6667 0.3333 0.5000 x1  6 H 1.72
Pd 0.3333 0.6667 0.5000 x1  6 H 1.88

Properties
Its crystal system is trigonal. The calculation puts the volume at 85 Å³/cell. The total energy comes out at -4.63 eV/atom.

10.
Material: HfTl3F
Method: DFT, PBE
State: optimized geometry

Lattice parameters (Å, degrees): 5.7447 5.7447 5.7447 90.00 90.00 90.00
With the nearest neighbours (Å) after each atom.
Space group Pm-3m (No. 221)
One atom of each set of equivalent atoms:
Hf 0.0000 0.0000 0.0000 x1  6 Tl 2.87
Tl 0.0000 0.0000 0.5000 x3  2 Hf 2.87
F 0.5000 0.5000 0.5000 x1  12 Tl 4.06

Properties
Its crystal system is cubic. The energy relative to the elements, uncorrected comes out at 294 meV per atom. The calculation puts the volume at 190 Å³/cell. The total energy comes out at -3.49 eV/atom.

11.
Material: Np2ScRh9
Method: DFT, PBE
State: optimized geometry

Lattice parameters (Å, degrees): 3.9936 3.9936 11.9548 90.00 90.00 90.00
With the nearest neighbours (Å) after each atom.
Space group P4/mmm (No. 123)
One atom of each set of equivalent atoms:
Np 0.0000 0.0000 0.1699 x2  12 Rh 2.80-2.85
Sc 0.0000 0.0000 0.5000 x1  12 Rh 2.81-2.82
Rh 0.0000 0.5000 0.0000 x2  8 Rh 2.82-2.83, 4 Np 2.85
Rh 0.0000 0.5000 0.3343 x4  2 Np 2.80, 2 Sc 2.81, 8 Rh 2.81-2.82
Rh 0.5000 0.5000 0.1681 x2  8 Rh 2.82-2.83, 4 Np 2.82
Rh 0.5000 0.5000 0.5000 x1  8 Rh 2.81, 4 Sc 2.82

Properties
The value obtained for the formation enthalpy at 0 K is -0.482 eV per atom. Its crystal system is tetragonal. The calculation puts the volume at 191 Å³/cell. The total energy comes out at -8.68 eV/atom.

12.
Material: PrNd2Ho
Method: DFT, PBE
State: optimized geometry

Lattice parameters (Å, degrees): 5.1777 5.1777 10.2758 90.00 90.00 90.00
With the nearest neighbours (Å) after each atom.
Space group I-4m2 (No. 119)
One atom of each set of equivalent atoms:
Pr 0.0000 0.0000 0.0000 x2  4 Ho 3.65, 8 Nd 3.65-3.66
Nd 0.0000 0.0000 0.5000 x2  4 Ho 3.65, 4 Nd 3.65, 4 Pr 3.66
Nd 0.0000 0.5000 0.2500 x2  4 Pr 3.65, 4 Nd 3.65, 4 Ho 3.66
Ho 0.0000 0.5000 0.7500 x2  4 Pr 3.65, 8 Nd 3.65-3.66

Properties
The value obtained for the formation enthalpy at 0 K is 0.016 eV per atom. Its crystal system is tetragonal. The calculation puts the volume at 275 Å³/cell. The total energy comes out at -4.71 eV/atom.

| no. | total magnetic moment (μB per formula unit) |
| --- | --- |
| 1 | 2.1 |
| 2 | 0.0 |
| 3 | 1.6 |
| 4 | 0.0 |
| 5 | 0.0 |
| 6 | 0.0 |
| 7 | 0.0 |
| 8 | 4.9 |
| 9 | 0.0 |
| 10 | 2.9 |
| 11 | 2.7 |
| 12 | 0.0 |